[1]
The following is a DFT calculation (GGA-PBE) of a relaxed TeS crystal.

Its formation energy (no corrections) is 386 meV/atom. The value obtained for the volume is 39.98 A^3/atom. The crystal system is orthorhombic.

The structure belongs to space group Fddd (No. 70, origin choice 2); the cell edges are 8.5123, 11.1849 and 13.4366 Å and the angles 90.00°, 90.00° and 90.00°. The inequivalent atoms are Te at (0.1250, 0.3269, 0.1250) and S at (0.1250, 0.1250, 0.2745).

[2]
The following is a DFT calculation (GGA-PBE) of a relaxed TeS crystal.

Its formation energy (no corrections) is 89 meV/atom. The value obtained for the volume is 38.07 A^3/atom. The crystal system is orthorhombic.

The structure belongs to space group P2_12_12_1 (No. 19); the cell edges are 6.8773, 8.7318 and 10.1427 Å and the angles 90.00°, 90.00° and 90.00°. The inequivalent atoms are Te at (0.2172, 0.0372, 0.3956), Te at (0.2431, 0.3605, 0.6902), S at (0.0600, 0.5283, 0.5495) and S at (0.1271, 0.1102, 0.6198).

[3]
The following is a DFT calculation (GGA-PBE) of a relaxed TeS crystal.

Its formation energy (no corrections) is 229 meV/atom. The value obtained for the volume is 29.31 A^3/atom. The crystal system is tetragonal.

The structure belongs to space group I4mm (No. 107); the cell edges are 3.4328, 3.4328 and 9.9496 Å and the angles 90.00°, 90.00° and 90.00°. The inequivalent atoms are Te at (0.0000, 0.0000, 0.0000) and S at (0.0000, 0.0000, 0.2265).

[4]
The following is a DFT calculation (GGA-PBE) of a relaxed TeS crystal.

Its formation energy (no corrections) is 206 meV/atom. The value obtained for the volume is 28.92 A^3/atom. The crystal system is monoclinic.

The structure belongs to space group P2_1/m (No. 11); the cell edges are 3.5168, 5.9799 and 5.7509 Å and the angles 90.00°, 106.96° and 90.00°. The inequivalent atoms are Te at (0.2014, 0.2500, 0.2723) and S at (0.3953, 0.2500, 0.6816).

Q: Look up the formation energy (no corrections) of the third one.
A: 229 meV/atom